CaPm4Y5 PBE relaxed; crystal system = monoclinic; E_form = 0.0354 eV per atom; uncorrected energy = -5.297 eV per atom
1.0
-1.838 -2.732 -1.509
4.569 -6.458 1.779
-10.692 0.617 7.564
Y Pm Ca
5 4 1
direct
0.200 0.902 0.698
0.000 0.500 0.500
0.395 0.313 0.897
0.800 0.098 0.302
0.605 0.687 0.103
0.601 0.199 0.599
0.808 0.592 0.792
0.399 0.801 0.401
0.192 0.408 0.208
0.000 0.000 0.000

---

La2Pr9Mg PBE relaxed; crystal system = tetragonal; E_form = 0.0116 eV per atom; uncorrected energy = -4.527 eV per atom
1.0
5.200 0.000 0.000
0.000 5.200 0.000
0.000 0.000 15.671
La Pr Mg
2 9 1
direct
0.000 0.000 0.671
0.000 0.000 0.329
0.500 0.500 0.329
0.500 0.000 0.500
0.000 0.500 0.162
0.500 0.000 0.838
0.000 0.500 0.838
0.500 0.000 0.162
0.000 0.500 0.500
0.500 0.500 0.671
0.500 0.500 0.000
0.000 0.000 0.000

---

Pm6DyY2Th PBE relaxed; crystal system = monoclinic; E_form = 0.1471 eV per atom; uncorrected energy = -5.198 eV per atom
1.0
-0.666 8.344 -4.528
-2.688 -4.611 -7.121
-6.404 2.109 5.808
Y Pm Th Dy
4 12 2 2
direct
0.555 0.204 0.296
0.945 0.704 0.796
0.055 0.296 0.204
0.445 0.796 0.704
0.190 0.573 0.008
0.938 0.889 0.234
0.385 0.523 0.295
0.615 0.477 0.705
0.562 0.766 0.111
0.690 0.008 0.573
0.810 0.427 0.992
0.310 0.992 0.427
0.885 0.295 0.523
0.438 0.234 0.889
0.115 0.705 0.477
0.062 0.111 0.766
0.250 0.965 0.035
0.750 0.035 0.965
0.250 0.410 0.590
0.750 0.590 0.410

---

LiTl2In PBE relaxed; crystal system = monoclinic; E_form = -0.0793 eV per atom; uncorrected energy = -2.426 eV per atom
1.0
3.389 0.000 0.000
0.000 5.619 -0.499
-1.694 -1.447 5.540
In Tl Li
1 2 1
direct
0.474 0.513 0.948
0.243 0.720 0.486
0.024 0.057 0.048
0.759 0.209 0.517

---

ZrTa5Ga6 PBE relaxed; crystal system = monoclinic; E_form = -0.1802 eV per atom; uncorrected energy = -7.345 eV per atom
1.0
9.417 -0.774 -0.001
2.340 3.699 -0.003
1.169 1.846 5.592
Ta Ga Zr
5 6 1
direct
0.500 0.167 0.666
0.500 0.500 0.000
0.500 0.833 0.334
0.000 0.673 0.655
0.000 0.327 0.345
0.750 0.750 0.000
0.746 0.422 0.663
0.746 0.086 0.337
0.254 0.914 0.663
0.250 0.250 0.000
0.254 0.578 0.337
0.000 0.000 0.000

---

BePtRh2 PBE relaxed; crystal system = tetragonal; E_form = -0.1739 eV per atom; uncorrected energy = -6.291 eV per atom
1.0
-0.861 -3.370 -1.513
2.147 0.794 -2.991
2.974 -1.535 1.727
Be Pt Rh
1 1 2
direct
0.500 0.500 0.000
0.500 0.000 0.500
0.000 0.000 0.000
0.000 0.500 0.500

---

NaCaTc2 PBE relaxed; crystal system = cubic; E_form = 1.3588 eV per atom; energy relative to the lowest polymorph listed for this composition = 26 kJ/mol of formula units; uncorrected energy = -4.654 eV per atom
1.0
0.000 3.460 3.460
3.460 0.000 3.460
3.460 3.460 0.000
Ca Tc Na
1 2 1
direct
0.500 0.500 0.500
0.750 0.750 0.750
0.250 0.250 0.250
0.000 0.000 0.000

---

Li2CuMo PBE relaxed; crystal system = orthorhombic; E_form = 0.3830 eV per atom; energy relative to the lowest polymorph listed for this composition = 71 kJ/mol of formula units; uncorrected energy = -4.306 eV per atom
1.0
-0.470 2.051 -1.329
-3.596 -1.315 -0.759
-1.908 2.552 4.614
Cu Li Mo
1 2 1
direct
0.500 0.500 0.750
0.000 0.000 0.523
0.000 0.000 0.977
0.500 0.500 0.250

---

LiBeP2O PBE relaxed; crystal system = tetragonal; formation energy without anion corrections = -0.2629 eV per atom; energy relative to the lowest polymorph listed for this composition = 4 kJ/mol of formula units; uncorrected energy = -4.546 eV per atom
1.0
4.994 0.000 0.000
0.000 4.994 0.000
0.000 0.000 2.894
Li O P Be
1 1 2 1
direct
0.500 0.500 0.500
0.000 0.000 0.000
0.500 0.000 0.000
0.000 0.500 0.000
0.000 0.000 0.500

---

NaPbBrCl2 PBE relaxed; crystal system = orthorhombic; formation energy without anion corrections = -1.2884 eV per atom; uncorrected energy = -3.367 eV per atom
1.0
-1.403 3.585 1.442
-6.307 -4.813 -0.031
1.958 -2.621 8.420
Cl Na Pb Br
4 2 2 2
direct
0.831 0.663 0.432
0.169 0.337 0.932
0.169 0.337 0.568
0.831 0.663 0.068
0.000 0.000 0.000
0.000 0.000 0.500
0.765 0.529 0.750
0.235 0.471 0.250
0.570 0.140 0.250
0.430 0.860 0.750

---

TmNp2P3 PBE relaxed; crystal system = orthorhombic; E_form = -1.1129 eV per atom; uncorrected energy = -8.877 eV per atom
1.0
6.729 0.028 -1.245
-2.577 6.216 -1.245
-0.008 -0.012 12.494
Np Tm P
8 4 12
direct
0.500 0.000 0.999
0.834 0.334 0.668
0.416 0.416 0.832
0.000 0.500 0.001
0.750 0.750 0.501
0.250 0.250 0.499
0.666 0.166 0.332
0.584 0.584 0.168
0.333 0.833 0.667
0.917 0.917 0.833
0.083 0.083 0.167
0.167 0.667 0.333
0.916 0.917 0.334
0.749 0.749 0.000
0.251 0.251 0.000
0.583 0.582 0.666
0.999 0.499 0.500
0.083 0.084 0.666
0.667 0.168 0.834
0.501 0.001 0.500
0.832 0.333 0.166
0.418 0.417 0.334
0.167 0.666 0.834
0.334 0.833 0.166

---

CoSn2Rh PBE relaxed; crystal system = tetragonal; E_form = 0.4419 eV per atom; uncorrected energy = -5.174 eV per atom
1.0
5.842 0.000 0.000
0.000 5.842 0.000
2.921 2.921 5.785
Sn Co Rh
4 2 2
direct
0.141 0.625 0.250
0.875 0.859 0.750
0.609 0.125 0.250
0.375 0.391 0.750
0.250 0.750 0.500
0.500 0.500 0.000
0.000 0.000 0.000
0.750 0.250 0.500